## Pm12CdSi6 (PBE)

Data for a relaxed Pm12CdSi6 crystal.

Summary:
The crystal system is cubic. The uncorrected formation energy is -498 meV/atom. The value obtained for the theoretical density is 6.27 g/cm³.

Structure (POSCAR):
```
Pm12CdSi6
1.0
-5.1153 5.1153 5.1153
5.1153 -5.1153 5.1153
5.1153 5.1153 -5.1153
Pm Cd Si
12 1 6
Cartesian
5.1153 -2.0789 3.1912
3.0363 1.9241 0.0000
7.1942 1.9241 0.0000
3.1912 5.1153 -2.0789
1.9241 0.0000 3.0363
0.0000 3.0363 1.9241
5.1153 2.0789 3.1912
3.1912 5.1153 2.0789
1.9241 0.0000 7.1942
-2.0789 3.1912 5.1153
2.0789 3.1912 5.1153
0.0000 7.1942 1.9241
0.0000 0.0000 0.0000
5.1153 0.0000 1.1749
5.1153 3.9404 0.0000
1.1749 5.1153 0.0000
3.9404 0.0000 5.1153
0.0000 1.1749 5.1153
0.0000 5.1153 3.9404
```